Computed, not measured: a relaxed structure of HfNbCI at the PBE level of DFT.

a = 3.409 Å, b = 3.256 Å, c = 6.569 Å
α = 90.00°, β = 90.00°, γ = 90.00°
Atoms (fractional coordinates):
I 0.000 0.000 0.283
Nb 0.500 0.500 0.539
Hf 0.000 0.500 0.881
C 0.500 0.000 0.781

VASP energy	-30.7	eV for the cell shown
relative energy among the computed polymorphs	410	meV/atom
raw formation energy	27	meV/atom


Computed, not measured: a relaxed structure of La2NdReN4 at the PBE level of DFT.

a = 3.559 Å, b = 6.369 Å, c = 12.386 Å
α = 90.00°, β = 90.00°, γ = 106.22°
Atoms (fractional coordinates):
La 0.368 0.736 0.540
La 0.632 0.264 0.040
La 0.632 0.264 0.460
La 0.368 0.736 0.960
Nd 0.121 0.243 0.750
Nd 0.879 0.757 0.250
Re 0.849 0.699 0.750
Re 0.151 0.301 0.250
N 0.272 0.543 0.140
N 0.728 0.457 0.640
N 0.728 0.457 0.860
N 0.272 0.543 0.360
N 0.000 0.000 0.500
N 0.000 0.000 0.000
N 0.422 0.844 0.750
N 0.578 0.156 0.250

VASP energy	-134.4	eV for the cell shown
raw formation energy	-853	meV/atom


Computed, not measured: a relaxed structure of MgZn2AuS4 at the PBE level of DFT.

a = 5.420 Å, b = 5.420 Å, c = 7.010 Å
α = 112.73°, β = 112.73°, γ = 90.04°
Atoms (fractional coordinates):
Mg 0.500 0.500 0.000
Zn 0.750 0.250 0.500
Zn 0.250 0.750 0.500
Au 0.000 0.000 0.000
S 0.614 0.614 0.732
S 0.386 0.882 0.268
S 0.882 0.386 0.268
S 0.119 0.119 0.732

VASP energy	-28.9	eV for the cell shown
raw formation energy	-627	meV/atom


Computed, not measured: a relaxed structure of LiSmHoAg at the PBE level of DFT.

a = 5.209 Å, b = 5.209 Å, c = 5.209 Å
α = 60.00°, β = 60.00°, γ = 60.00°
Atoms (fractional coordinates):
Ag 0.250 0.250 0.250
Ho 0.000 0.000 0.000
Sm 0.500 0.500 0.500
Li 0.750 0.750 0.750

VASP energy	-14.4	eV for the cell shown
ΔE_f	-0.081	eV/atom


| no. | mass density (g/cm³) |
| --- | --- |
| 1 | 9.3 |
| 2 | 8.2 |
| 3 | 4.6 |
| 4 | 7.1 |